CaLuHgBi: optimized geometry, GGA-PBE.

Unit cell a=5.412 b=5.412 c=5.412 alpha=60.00 beta=60.00 gamma=60.00
Fractional coordinates of all 4 atoms:
Hg  0.000  0.000  0.000
Ca  0.250  0.250  0.250
Bi  0.500  0.500  0.500
Lu  0.750  0.750  0.750

Calculated values
SG = F-43m (216)
calculated volume = 112 Å³ per cell
E = -3.1596 eV per atom
energy relative to the elements = -0.483 eV/atom
density = 9.252 Mg/m³